Entry one
TaTePIrPtPb | PBE | relaxed

abc: 3.6453 4.3233 8.2115
angles: 89.08 88.99 89.96
With the nearest neighbours (Å) after each atom.
Space group P1 (No. 1)
Asymmetric unit:
1 Ta 0.0000 0.0000 0.0000 x1  2 P 2.55-2.56, 2 Pt 2.65, 2 Ir 2.83-2.84
2 Te 0.5104 0.0123 0.7182 x1  4 Pt 2.92-2.95, 2 Ta 2.94-2.95
3 P 0.4906 0.0182 0.2174 x1  2 Ir 2.42-2.43, 2 Ta 2.55-2.56
4 Ir 0.4986 0.5216 0.0837 x1  2 P 2.42-2.43
5 Pt 0.0094 0.5068 0.8132 x1  2 Ta 2.65, 2 Ir 2.87, 4 Te 2.92-2.95
6 Pb 0.9882 0.5101 0.3666 x1  2 Ir 2.95, 4 P 3.06-3.10

Summary:
total moment = 0.0000 μB/atom

=====

Entry two
TaTePIrPtPb | PBE | relaxed

abc: 3.3269 4.8715 9.3672
angles: 76.35 79.97 70.05
With the nearest neighbours (Å) after each atom.
Space group P1 (No. 1)
Asymmetric unit:
1 Ta 0.0000 0.0000 0.0000 x1  3 P 2.64-2.73, 2 Pt 2.70, 3 Ir 2.71-2.72, 1 Te 2.90
2 Te 0.8078 0.0884 0.3025 x1  1 P 2.67, 1 Ta 2.90
3 P 0.6883 0.5483 0.0759 x1  2 Ir 2.33
4 Ir 0.3092 0.4685 0.9106 x1  2 P 2.33
5 Pt 0.6314 0.9586 0.7745 x1  2 Ta 2.70, 3 Ir 2.85-2.88, 3 Pb 2.93-2.94
6 Pb 0.9590 0.4536 0.6223 x1  3 Pt 2.93-2.94, 2 Ir 3.15

Summary:
total moment = 0.0000 μB/atom

=====

Entry three
TaTePIrPtPb | PBE | relaxed

abc: 7.0133 4.0460 9.8692
angles: 90.00 103.63 90.00
With the nearest neighbours (Å) after each atom.
Space group Cm (No. 8)
Asymmetric unit:
1 Ta 0.0000 0.0000 0.0000 x2  3 P 2.60, 3 Ir 2.61-2.62, 1 Pt 2.69
2 Te 0.4707 0.0000 0.4141 x2  3 Pt 2.67
3 P 0.1272 0.5000 0.8810 x2  1 Ir 2.32
4 Ir 0.2076 0.5000 0.1225 x2  1 P 2.32
5 Pt 0.0929 0.0000 0.2803 x2  3 Te 2.67, 1 Ta 2.69, 3 Ir 2.78
6 Pb 0.2205 0.0000 0.6637 x2  3 P 3.13-3.14, 3 Te 3.34-3.35

Summary:
total moment = 0.0000 μB/atom

=====

Quick ranking, most stable first: entry two, entry one, entry three.

=====

Entry one
P2IrPbS | PBE | relaxed

abc: 4.5761 4.5761 5.7799
angles: 90.00 90.00 90.00
With the nearest neighbours (Å) after each atom.
Space group P4/mmm (No. 123)
Asymmetric unit:
1 P 0.0000 0.5000 0.0000 x2  2 Ir 2.29
2 Ir 0.0000 0.0000 0.0000 x1  4 P 2.29
3 Pb 0.5000 0.5000 0.5000 x1  4 S 3.24
4 S 0.0000 0.0000 0.5000 x1  2 Ir 2.89, 4 Pb 3.24

Summary:
total moment = 0.0000 μB/atom

=====

Entry two
P2IrPbS | PBE | relaxed

abc: 5.0797 5.0797 4.9847
angles: 90.00 90.00 90.00
With the nearest neighbours (Å) after each atom.
Space group P4/mmm (No. 123)
Asymmetric unit:
1 P 0.0000 0.5000 0.0000 x2  2 Pb 2.54
2 Ir 0.0000 0.0000 0.5000 x1  8 P 3.56, 4 S 3.59
3 Pb 0.5000 0.5000 0.0000 x1  2 S 2.49, 4 P 2.54
4 S 0.5000 0.5000 0.5000 x1  2 Pb 2.49

Summary:
total moment = 0.1655 μB/atom

=====

Quick ranking, most stable first: entry one, entry two.

=====

Entry one
SnPIr2Pb | PBE | relaxed

abc: 4.4410 4.4410 5.6553
angles: 90.00 90.00 90.00
With the nearest neighbours (Å) after each atom.
Space group P4/mmm (No. 123)
Asymmetric unit:
1 Sn 0.0000 0.0000 0.0000 x1  4 Pb 3.14
2 P 0.5000 0.5000 0.5000 x1  4 Ir 2.22
3 Ir 0.0000 0.5000 0.5000 x2  2 P 2.22
4 Pb 0.5000 0.5000 0.0000 x1  2 P 2.83, 4 Sn 3.14

Summary:
total moment = 0.0000 μB/atom

=====

Entry two
SnPIr2Pb | PBE | relaxed

abc: 5.0607 5.0607 5.0449
angles: 90.00 90.00 90.00
With the nearest neighbours (Å) after each atom.
Space group P4/mmm (No. 123)
Asymmetric unit:
1 Sn 0.0000 0.0000 0.0000 x1  8 Ir 3.57, 4 P 3.58
2 P 0.5000 0.5000 0.0000 x1  2 Pb 2.52
3 Ir 0.0000 0.5000 0.5000 x2  2 Pb 2.53
4 Pb 0.5000 0.5000 0.5000 x1  2 P 2.52, 4 Ir 2.53

Summary:
total moment = 0.0001 μB/atom

=====

Quick ranking, most stable first: entry one, entry two.

=====

Entry one
P2IrPd | PBE | relaxed

abc: 5.4130 5.4130 10.3488
angles: 90.00 90.00 90.00
With the nearest neighbours (Å) after each atom.
Space group I-42d (No. 122)
Asymmetric unit:
1 P 0.2350 0.2500 0.1250 x8  2 Ir 2.26, 2 Pd 2.36
2 Ir 0.0000 0.0000 0.0000 x4  4 P 2.26
3 Pd 0.0000 0.0000 0.5000 x4  4 P 2.36

Summary:
total moment = 0.0000 μB/atom

=====

Entry two
P2IrPd | PBE | relaxed

abc: 6.0820 6.0820 6.0820
angles: 90.00 90.00 90.00
With the nearest neighbours (Å) after each atom.
Space group Fm-3m (No. 225)
Asymmetric unit:
1 P 0.2500 0.2500 0.2500 x8  4 Ir 2.63, 4 Pd 2.63
2 Ir 0.0000 0.0000 0.0000 x4  8 P 2.63
3 Pd 0.0000 0.0000 0.5000 x4  8 P 2.63

Summary:
total moment = 0.0000 μB/atom

=====

Quick ranking, most stable first: entry one, entry two.

=====

Entry one
PIrPd3 | PBE | relaxed

abc: 4.8028 4.8028 4.8028
angles: 90.00 90.00 90.00
With the nearest neighbours (Å) after each atom.
Space group Pm-3m (No. 221)
Asymmetric unit:
1 P 0.0000 0.0000 0.0000 x1  12 Pd 3.40
2 Ir 0.5000 0.5000 0.5000 x1  6 Pd 2.40
3 Pd 0.0000 0.5000 0.5000 x3  2 Ir 2.40

Summary:
total moment = 0.1636 μB/atom

=====

Entry two
PIrPd3 | PBE | relaxed

abc: 4.4099 4.4099 4.4099
angles: 90.00 90.00 90.00
With the nearest neighbours (Å) after each atom.
Space group Pm-3m (No. 221)
Asymmetric unit:
1 P 0.0000 0.0000 0.0000 x1  6 Pd 2.20
2 Ir 0.5000 0.5000 0.5000 x1  12 Pd 3.12
3 Pd 0.0000 0.0000 0.5000 x3  2 P 2.20

Summary:
total moment = 0.0000 μB/atom

=====

Quick ranking, most stable first: entry two, entry one.

=====

Entry one
PIrPdS2 | PBE | relaxed

abc: 4.6202 4.6202 4.4947
angles: 90.00 90.00 90.00
With the nearest neighbours (Å) after each atom.
Space group P4/mmm (No. 123)
Asymmetric unit:
1 P 0.0000 0.0000 0.0000 x1  2 Pd 2.25
2 Ir 0.5000 0.5000 0.0000 x1  8 S 3.22, 4 P 3.27
3 Pd 0.0000 0.0000 0.5000 x1  2 P 2.25, 4 S 2.31
4 S 0.0000 0.5000 0.5000 x2  2 Pd 2.31

Summary:
total moment = 0.0002 μB/atom

=====

Entry two
PIrPdS2 | PBE | relaxed

abc: 4.7916 4.7916 4.3974
angles: 90.00 90.00 90.00
With the nearest neighbours (Å) after each atom.
Space group P4/mmm (No. 123)
Asymmetric unit:
1 P 0.0000 0.0000 0.0000 x1  2 Ir 2.20
2 Ir 0.0000 0.0000 0.5000 x1  2 P 2.20, 4 S 2.40
3 Pd 0.5000 0.5000 0.0000 x1  8 S 3.25, 4 P 3.39
4 S 0.0000 0.5000 0.5000 x2  2 Ir 2.40

Summary:
total moment = 0.0003 μB/atom

=====

Quick ranking, most stable first: entry two, entry one.

=====

Entry one
P2IrPdS | PBE | relaxed

abc: 4.5059 4.5059 4.6741
angles: 90.00 90.00 90.00
With the nearest neighbours (Å) after each atom.
Space group P4/mmm (No. 123)
Asymmetric unit:
1 P 0.0000 0.5000 0.0000 x2  2 Pd 2.25
2 Ir 0.0000 0.0000 0.5000 x1  4 S 3.19, 8 P 3.25
3 Pd 0.5000 0.5000 0.0000 x1  4 P 2.25, 2 S 2.34
4 S 0.5000 0.5000 0.5000 x1  2 Pd 2.34

Summary:
total moment = 0.0000 μB/atom

=====

Entry two
P2IrPdS | PBE | relaxed

abc: 4.4681 4.4681 5.0312
angles: 90.00 90.00 90.00
With the nearest neighbours (Å) after each atom.
Space group P4/mmm (No. 123)
Asymmetric unit:
1 P 0.0000 0.5000 0.0000 x2  2 Ir 2.23
2 Ir 0.0000 0.0000 0.0000 x1  4 P 2.23
3 Pd 0.5000 0.5000 0.5000 x1  4 S 3.16, 8 P 3.36
4 S 0.0000 0.0000 0.5000 x1  2 Ir 2.52

Summary:
total moment = 0.0000 μB/atom

=====

Quick ranking, most stable first: entry two, entry one.

=====

Entry one
PrP2Ir | PBE | relaxed

abc: 5.0668 5.0668 10.3291
angles: 90.00 90.00 120.00
With the nearest neighbours (Å) after each atom.
Space group R-3m (No. 166, hexagonal axes)
Asymmetric unit:
1 Pr 0.0000 0.0000 0.0000 x3  8 P 2.85-2.99
2 P 0.0000 0.0000 0.2757 x6  1 Ir 2.32
3 Ir 0.0000 0.0000 0.5000 x3  2 P 2.32

Summary:
total moment = 0.0000 μB/atom

=====

Entry two
PrP2Ir | PBE | relaxed

abc: 4.0220 4.0220 9.7437
angles: 90.00 90.00 90.00
With the nearest neighbours (Å) after each atom.
Space group I-4m2 (No. 119)
Asymmetric unit:
1 Pr 0.0000 0.0000 0.0000 x2  8 P 3.09, 4 Ir 3.16
2 P 0.0000 0.0000 0.3749 x4  2 Ir 2.35, 1 P 2.44
3 Ir 0.0000 0.5000 0.7500 x2  4 P 2.35

Summary:
total moment = 0.0000 μB/atom

=====

Quick ranking, most stable first: entry two, entry one.

=====

Entry one
PIrPt3 | PBE | relaxed

abc: 4.4369 4.4369 4.4369
angles: 90.00 90.00 90.00
With the nearest neighbours (Å) after each atom.
Space group Pm-3m (No. 221)
Asymmetric unit:
1 P 0.0000 0.0000 0.0000 x1  6 Pt 2.22
2 Ir 0.5000 0.5000 0.5000 x1  12 Pt 3.14
3 Pt 0.0000 0.0000 0.5000 x3  2 P 2.22

Summary:
total moment = 0.0000 μB/atom

=====

Entry two
PIrPt3 | PBE | relaxed

abc: 4.8166 4.8166 4.8166
angles: 90.00 90.00 90.00
With the nearest neighbours (Å) after each atom.
Space group Pm-3m (No. 221)
Asymmetric unit:
1 P 0.0000 0.0000 0.0000 x1  12 Pt 3.41
2 Ir 0.5000 0.5000 0.5000 x1  6 Pt 2.41
3 Pt 0.0000 0.5000 0.5000 x3  2 Ir 2.41

Summary:
total moment = 0.0002 μB/atom

=====

Quick ranking, most stable first: entry one, entry two.

=====

Entry one
RePIrPt | PBE | relaxed

abc: 9.7874 4.3423 2.8526
angles: 90.00 105.14 90.00
With the nearest neighbours (Å) after each atom.
Space group Cm (No. 8)
Asymmetric unit:
1 Re 0.0000 0.0000 0.0000 x2  2 P 2.33-2.36
2 P 0.3024 0.5000 0.3144 x2  2 Re 2.33-2.36, 2 Ir 2.37-2.43, 2 Pt 2.42
3 Ir 0.0978 0.5000 0.6124 x2  2 P 2.37-2.43
4 Pt 0.2934 0.0000 0.6793 x2  2 P 2.42

Summary:
total moment = 0.0000 μB/atom

=====

Entry two
RePIrPt | PBE | relaxed

abc: 4.6670 2.8313 4.7163
angles: 90.00 107.35 90.00
With the nearest neighbours (Å) after each atom.
Space group Pm (No. 6)
Asymmetric unit:
1 Re 0.0000 0.0000 0.0000 x1  2 P 2.35
2 P 0.3344 0.5000 0.3400 x1  2 Ir 2.31-2.56, 2 Pt 2.32-2.50, 2 Re 2.35
3 Ir 0.4739 0.5000 0.8537 x1  2 P 2.31-2.56
4 Pt 0.8554 0.5000 0.4744 x1  2 P 2.32-2.50

Summary:
total moment = 0.0000 μB/atom

=====

Entry three
RePIrPt | PBE | relaxed

abc: 10.1771 2.7930 4.6511
angles: 90.00 116.01 90.00
With the nearest neighbours (Å) after each atom.
Space group Cm (No. 8)
Asymmetric unit:
1 Re 0.0000 0.0000 0.0000 x2  1 P 2.34
2 P 0.2898 0.5000 0.5106 x2  2 Ir 2.31, 1 Pt 2.31, 1 Re 2.34
3 Ir 0.2866 0.0000 0.1126 x2  2 P 2.31
4 Pt 0.0744 0.5000 0.5627 x2  1 P 2.31

Summary:
total moment = 0.0000 μB/atom

=====

Quick ranking, most stable first: entry two, entry three, entry one.

=====

Entry one
RePIrPt | PBE | relaxed

abc: 3.7532 4.4791 4.6406
angles: 118.34 90.18 114.59
With the nearest neighbours (Å) after each atom.
Space group P1 (No. 1)
Asymmetric unit:
1 Re 0.0000 0.0000 0.0000 x1  3 P 2.46-2.49, 1 Ir 2.58
2 P 0.3179 0.6371 0.0450 x1  2 Ir 2.38, 3 Re 2.46-2.49, 3 Pt 2.50-2.60
3 Ir 0.8040 0.6085 0.3470 x1  2 P 2.38, 1 Re 2.58
4 Pt 0.5930 0.1925 0.6438 x1  3 P 2.50-2.60, 4 Ir 2.69-2.78

Summary:
total moment = 0.0000 μB/atom

=====

Entry two
RePIrPt | PBE | relaxed

abc: 4.3117 3.2532 4.3835
angles: 90.00 105.70 90.00
With the nearest neighbours (Å) after each atom.
Space group Pm (No. 6)
Asymmetric unit:
1 Re 0.0000 0.0000 0.0000 x1  2 P 2.39
2 P 0.4098 0.5000 0.0081 x1  1 Pt 2.29, 2 Ir 2.36, 2 Re 2.39
3 Ir 0.3901 0.0000 0.6147 x1  2 P 2.36
4 Pt 0.8409 0.5000 0.4472 x1  1 P 2.29

Summary:
total moment = 0.0000 μB/atom

=====

Quick ranking, most stable first: entry two, entry one.

=====

Entry one
Pu2PIr | PBE | relaxed

abc: 3.6688 3.6688 5.7717
angles: 90.00 90.00 90.00
With the nearest neighbours (Å) after each atom.
Space group P4/mmm (No. 123)
Asymmetric unit:
1 Pu 0.0000 0.0000 0.2442 x2  2 Pu 2.82-2.95, 4 P 2.95, 4 Ir 2.98
2 P 0.5000 0.5000 0.0000 x1  2 Ir 2.89, 8 Pu 2.95
3 Ir 0.5000 0.5000 0.5000 x1  2 P 2.89, 8 Pu 2.98

Summary:
total moment = 2.5471 μB/atom

=====

Entry two
Pu2PIr | PBE | relaxed

abc: 5.4516 3.4968 7.6480
angles: 90.00 96.19 90.00
With the nearest neighbours (Å) after each atom.
Space group P2_1/m (No. 11)
Asymmetric unit:
1 Pu 0.1161 0.2500 0.0738 x2  2 Pu 2.37, 1 Ir 2.59
2 Pu 0.3593 0.7500 0.4551 x2  2 Pu 2.38
3 P 0.1656 0.2500 0.7039 x2  2 Ir 2.40
4 Ir 0.4087 0.7500 0.8526 x2  2 P 2.40, 1 Pu 2.59

Summary:
total moment = 0.3911 μB/atom

=====

Quick ranking, most stable first: entry one, entry two.

=====

Entry one
P2IrRh | PBE | relaxed

abc: 3.5433 3.5433 8.7813
angles: 90.00 90.00 90.00
With the nearest neighbours (Å) after each atom.
Space group I-4m2 (No. 119)
Asymmetric unit:
1 P 0.0000 0.0000 0.0000 x2  4 Ir 2.51
2 P 0.0000 0.5000 0.2500 x2  4 Rh 2.51
3 Ir 0.0000 0.0000 0.5000 x2  4 P 2.51
4 Rh 0.0000 0.5000 0.7500 x2  4 P 2.51

Summary:
total moment = 0.0000 μB/atom

=====

Entry two
P2IrRh | PBE | relaxed

abc: 2.8954 2.8954 7.7156
angles: 90.00 90.00 90.00
With the nearest neighbours (Å) after each atom.
Space group P4mm (No. 99)
Asymmetric unit:
1 P 0.0000 0.0000 0.0000 x1  4 Ir 2.41
2 P 0.5000 0.5000 0.3897 x1  4 Rh 2.40
3 Ir 0.5000 0.5000 0.8342 x1  4 P 2.41
4 Rh 0.0000 0.0000 0.5510 x1  4 P 2.40

Summary:
total moment = 0.0000 μB/atom

=====

Quick ranking, most stable first: entry two, entry one.